Record 1
## LaCdH2Se (PBE)

Data for LaCdH2Se after structural relaxation.

abc: 4.450 5.983 4.450
angles: 90.00 90.00 90.00
Fractional positions:
H (0.000, 0.000, 0.500)
H (0.500, 0.000, 0.000)
Cd (0.500, 0.500, 0.500)
Se (0.000, 0.500, 0.000)
La (0.000, 0.000, 0.000)

Values from the calculation:
The symmetry is P4/mmm, No. 123. As for the density: 4657 kg/m3. As for the final energy: -3.608 eV/atom.

***

Record 2
## LaCdSn2H (PBE)

Data for LaCdSn2H after structural relaxation.

abc: 4.947 4.947 4.594
angles: 90.00 90.00 90.00
Fractional positions:
H (0.000, 0.000, 0.000)
Cd (0.500, 0.500, 0.500)
Sn (0.000, 0.500, 0.000)
Sn (0.500, 0.000, 0.000)
La (0.000, 0.000, 0.500)

Values from the calculation:
The symmetry is P4/mmm, No. 123. As for the density: 7232 kg/m3. As for the final energy: -3.744 eV/atom.

***

Record 3
## LaCd2SnH (PBE)

Data for LaCd2SnH after structural relaxation.

abc: 4.790 4.790 4.761
angles: 90.00 90.00 90.00
Fractional positions:
H (0.000, 0.000, 0.000)
Cd (0.000, 0.500, 0.000)
Cd (0.500, 0.000, 0.000)
Sn (0.500, 0.500, 0.500)
La (0.000, 0.000, 0.500)

Values from the calculation:
The symmetry is P4/mmm, No. 123. As for the density: 7349 kg/m3. As for the final energy: -3.152 eV/atom.

***

Record 4
## La2CdSnH (PBE)

Data for La2CdSnH after structural relaxation.

abc: 5.046 5.046 4.688
angles: 90.00 90.00 90.00
Fractional positions:
H (0.000, 0.000, 0.000)
Cd (0.000, 0.000, 0.500)
Sn (0.500, 0.500, 0.500)
La (0.000, 0.500, 0.000)
La (0.500, 0.000, 0.000)

Values from the calculation:
The symmetry is P4/mmm, No. 123. As for the density: 7095 kg/m3. As for the final energy: -4.137 eV/atom.

***

Record 5
## Sr2LaCdH (PBE)

Data for Sr2LaCdH after structural relaxation.

abc: 5.377 5.377 5.164
angles: 90.00 90.00 90.00
Site moments in Bohr magnetons follow the coordinates.
Fractional positions:
Sr (0.000, 0.500, 0.000)  0.05
Sr (0.500, 0.000, 0.000)  0.05
Cd (0.500, 0.500, 0.500)  0.01
H (0.000, 0.000, 0.000)  -0.01
La (0.000, 0.000, 0.500)  0.25

Values from the calculation:
The symmetry is P4/mmm, No. 123. As for the density: 4755 kg/m3. As for the final energy: -2.664 eV/atom.

***

Record 6
## LaCdTcH6 (PBE)

Data for LaCdTcH6 after structural relaxation.

abc: 4.870 4.870 4.601
angles: 90.00 90.00 60.00
Fractional positions:
La (0.000, 0.000, 0.000)
Cd (0.667, 0.667, 0.500)
Tc (0.333, 0.333, 0.500)
H (0.053, 0.473, 0.218)
H (0.473, 0.053, 0.782)
H (0.474, 0.473, 0.782)
H (0.053, 0.474, 0.782)
H (0.473, 0.474, 0.218)
H (0.474, 0.053, 0.218)

Values from the calculation:
The symmetry is P-6m2, No. 187. As for the density: 6243 kg/m3. As for the final energy: -4.215 eV/atom.

***

Record 7
## LaTlCd2H (PBE)

Data for LaTlCd2H after structural relaxation.

abc: 4.967 4.967 4.581
angles: 90.00 90.00 90.00
Fractional positions:
H (0.000, 0.000, 0.000)
Tl (0.500, 0.500, 0.500)
Cd (0.000, 0.500, 0.000)
Cd (0.500, 0.000, 0.000)
La (0.000, 0.000, 0.500)

Values from the calculation:
The symmetry is P4/mmm, No. 123. As for the density: 8363 kg/m3. As for the final energy: -2.728 eV/atom.

***

Record 8
## La2YCdH (PBE)

Data for La2YCdH after structural relaxation.

abc: 5.007 5.007 5.013
angles: 90.00 90.00 90.00
Fractional positions:
Y (0.500, 0.500, 0.500)
H (0.000, 0.000, 0.000)
Cd (0.000, 0.000, 0.500)
La (0.000, 0.500, 0.000)
La (0.500, 0.000, 0.000)

Values from the calculation:
The symmetry is P4/mmm, No. 123. The value obtained for the energy above the most stable polymorph in this dataset is 35.5 meV/atom. As for the density: 6343 kg/m3. As for the final energy: -4.320 eV/atom.